[1]
DFT (PBE) results for HoGePdAu after structural relaxation.

Results
space-group type: F-43m (216)
E_form: -0.635 eV/atom
total DFT energy (no corrections): -20.21 eV per cell
ρ: 11.63 g cm⁻³

Cell lengths 4.780, 4.780, 4.780 Å; angles 60.00, 60.00, 60.00 degrees
Sites, in units of the cell vectors:
Ho  0.000  0.000  0.000
Ge  0.500  0.500  0.500
Pd  0.750  0.750  0.750
Au  0.250  0.250  0.250

=====

[2]
DFT (PBE) results for Ho2Ge4Pd3Au after structural relaxation.

Results
space-group type: P-4m2 (115)
E_form: -0.684 eV/atom
total DFT energy (no corrections): -53.32 eV per cell
ρ: 9.95 g cm⁻³

Cell lengths 4.257, 4.257, 10.465 Å; angles 90.00, 90.00, 90.00 degrees
Sites, in units of the cell vectors:
Ho  0.000  0.500  0.246
Ho  0.500  0.000  0.754
Ge  0.000  0.000  0.500
Ge  0.000  0.500  0.860
Ge  0.500  0.000  0.140
Ge  0.500  0.500  0.500
Pd  0.000  0.000  0.000
Pd  0.000  0.500  0.630
Pd  0.500  0.000  0.370
Au  0.500  0.500  0.000

=====

[3]
DFT (PBE) results for PmHoGeAu after structural relaxation.

Results
space-group type: F-43m (216)
E_form: -0.733 eV/atom
total DFT energy (no corrections): -20.15 eV per cell
ΔE to the lowest computed polymorph: 0.37 eV/f.u.
ρ: 10.05 g cm⁻³

Cell lengths 5.135, 5.135, 5.135 Å; angles 60.00, 60.00, 60.00 degrees
Sites, in units of the cell vectors:
Pm  0.000  0.000  0.000
Ho  0.500  0.500  0.500
Ge  0.250  0.250  0.250
Au  0.750  0.750  0.750

=====

[4]
DFT (PBE) results for PmHoGeAu after structural relaxation.

Results
space-group type: Amm2 (38)
E_form: -0.826 eV/atom
total DFT energy (no corrections): -20.53 eV per cell
ΔE to the lowest computed polymorph: 0.00 eV/f.u.
ρ: 9.73 g cm⁻³

Cell lengths 4.359, 5.913, 5.913 Å; angles 40.45, 90.00, 90.00 degrees
Sites, in units of the cell vectors:
Pm  0.000  0.000  0.000
Ho  0.500  0.278  0.278
Ge  0.000  0.729  0.729
Au  0.500  0.561  0.561

=====

[5]
DFT (PBE) results for PrHoGeAu after structural relaxation.

Results
space-group type: F-43m (216)
E_form: -0.713 eV/atom
total DFT energy (no corrections): -20.10 eV per cell
ρ: 9.74 g cm⁻³

Cell lengths 5.178, 5.178, 5.178 Å; angles 60.00, 60.00, 60.00 degrees
Sites, in units of the cell vectors:
Pr  0.000  0.000  0.000
Ho  0.500  0.500  0.500
Ge  0.250  0.250  0.250
Au  0.750  0.750  0.750

=====

[6]
DFT (PBE) results for Ho2Ge3Pt4Au after structural relaxation.

Results
space-group type: P-4m2 (115)
E_form: -0.800 eV/atom
total DFT energy (no corrections): -58.45 eV per cell
ρ: 13.37 g cm⁻³

Cell lengths 4.027, 4.027, 11.676 Å; angles 90.00, 90.00, 90.00 degrees
Sites, in units of the cell vectors:
Ho  0.000  0.500  0.248
Ho  0.500  0.000  0.752
Ge  0.000  0.000  0.000
Ge  0.000  0.500  0.632
Ge  0.500  0.000  0.368
Pt  0.000  0.000  0.500
Pt  0.000  0.500  0.836
Pt  0.500  0.000  0.164
Pt  0.500  0.500  0.500
Au  0.500  0.500  0.000

=====

[7]
DFT (PBE) results for Ho2Ge4Pt3Au after structural relaxation.

Results
space-group type: P-4m2 (115)
E_form: -0.766 eV/atom
total DFT energy (no corrections): -56.69 eV per cell
ρ: 12.20 g cm⁻³

Cell lengths 4.304, 4.304, 10.301 Å; angles 90.00, 90.00, 90.00 degrees
Sites, in units of the cell vectors:
Ho  0.000  0.500  0.245
Ho  0.500  0.000  0.755
Ge  0.000  0.000  0.500
Ge  0.000  0.500  0.861
Ge  0.500  0.000  0.139
Ge  0.500  0.500  0.500
Pt  0.000  0.000  0.000
Pt  0.000  0.500  0.626
Pt  0.500  0.000  0.374
Au  0.500  0.500  0.000

=====

[8]
DFT (PBE) results for Ho2Ge2Rh5Au after structural relaxation.

Results
space-group type: P4/mbm (127)
E_form: -0.733 eV/atom
total DFT energy (no corrections): -131.51 eV per cell
ρ: 11.52 g cm⁻³

Cell lengths 9.707, 9.707, 3.631 Å; angles 90.00, 90.00, 90.00 degrees
Sites, in units of the cell vectors:
Ho  0.174  0.326  0.000
Ho  0.326  0.826  0.000
Ho  0.674  0.174  0.000
Ho  0.826  0.674  0.000
Ge  0.125  0.625  0.000
Ge  0.375  0.125  0.000
Ge  0.625  0.875  0.000
Ge  0.875  0.375  0.000
Rh  0.000  0.500  0.500
Rh  0.068  0.790  0.500
Rh  0.210  0.068  0.500
Rh  0.290  0.568  0.500
Rh  0.432  0.290  0.500
Rh  0.500  0.000  0.500
Rh  0.568  0.710  0.500
Rh  0.710  0.432  0.500
Rh  0.790  0.932  0.500
Rh  0.932  0.210  0.500
Au  0.000  0.000  0.000
Au  0.500  0.500  0.000

=====

[9]
DFT (PBE) results for Ho4GeAuSe2 after structural relaxation.

Results
space-group type: I-4m2 (119)
total DFT energy (no corrections): -43.38 eV per cell
ρ: 9.15 g cm⁻³
energy relative to the elements, uncorrected: -1.275 eV/atom

Cell lengths 7.123, 7.123, 7.123 Å; angles 131.71, 131.71, 70.69 degrees
Sites, in units of the cell vectors:
Ho  0.246  0.246  0.000
Ho  0.503  0.003  0.500
Ho  0.754  0.754  0.000
Ho  0.997  0.497  0.500
Ge  0.750  0.250  0.500
Au  0.500  0.500  0.000
Se  0.000  0.000  0.000
Se  0.250  0.750  0.500

=====

[10]
DFT (PBE) results for HoSnGeAu after structural relaxation.

Results
space-group type: F-43m (216)
E_form: -0.377 eV/atom
total DFT energy (no corrections): -17.98 eV per cell
ρ: 10.17 g cm⁻³

Cell lengths 5.036, 5.036, 5.036 Å; angles 60.00, 60.00, 60.00 degrees
Sites, in units of the cell vectors:
Ho  0.000  0.000  0.000
Sn  0.500  0.500  0.500
Ge  0.750  0.750  0.750
Au  0.250  0.250  0.250

=====

[11]
DFT (PBE) results for SrHoGe2Au2 after structural relaxation.

Results
space-group type: P-3m1 (164)
E_form: -0.742 eV/atom
total DFT energy (no corrections): -26.50 eV per cell
ρ: 9.40 g cm⁻³

Cell lengths 4.520, 4.520, 7.903 Å; angles 90.00, 90.00, 120.00 degrees
Sites, in units of the cell vectors:
Sr  0.000  0.000  0.000
Ho  0.000  0.000  0.500
Ge  0.333  0.667  0.711
Ge  0.667  0.333  0.289
Au  0.333  0.667  0.284
Au  0.667  0.333  0.716

=====

[12]
DFT (PBE) results for Sr2HoGe3Au4 after structural relaxation.

Results
space-group type: P-4m2 (115)
E_form: -0.595 eV/atom
total DFT energy (no corrections): -40.86 eV per cell
ρ: 9.49 g cm⁻³

Cell lengths 4.465, 4.465, 11.807 Å; angles 90.00, 90.00, 90.00 degrees
Sites, in units of the cell vectors:
Sr  0.000  0.500  0.224
Sr  0.500  0.000  0.776
Ho  0.000  0.000  0.500
Ge  0.000  0.500  0.876
Ge  0.500  0.000  0.124
Ge  0.500  0.500  0.500
Au  0.000  0.000  0.000
Au  0.000  0.500  0.656
Au  0.500  0.000  0.344
Au  0.500  0.500  0.000